No. 1
The following is a PBE-GGA calculation of YMo after structural relaxation, from Alexandria via LeMat-Bulk.

abc: 3.0124 3.0124 4.8516
angles: 90.00 90.00 106.99
With the nearest neighbours (Å) after each atom.
Fractional coordinates of all 2 atoms:
Y (0.0000, 0.0000, 0.0000)  4 Y 3.01, 4 Mo 3.02
Mo (0.5000, 0.5000, 0.5000)  4 Mo 3.01, 4 Y 3.02

Summary:
For the energy above the most stable polymorph in this dataset, the calculation gives 90 kJ/mol of formula units. The formation energy is 0.60 eV/atom. The value obtained for the total energy is -16.09 eV/cell. The density of states at the Fermi level comes out at 3.01 states/eV/f.u. Its space-group type is Cmmm, No. 65. Its crystal system is orthorhombic.

***

No. 2
The following is a PBE-GGA calculation of CrPbBr2 after structural relaxation, from Alexandria via LeMat-Bulk.

abc: 10.0446 10.0446 10.0446
angles: 21.02 21.02 21.02
With the nearest neighbours (Å) after each atom.
Fractional coordinates of all 4 atoms:
Cr (0.0000, 0.0000, 0.0000)  6 Br 2.66
Pb (0.5000, 0.5000, 0.5000)  6 Pb 3.66, 6 Br 3.92
Br (0.2787, 0.2787, 0.2787)  3 Cr 2.66
Br (0.7213, 0.7213, 0.7213)  3 Cr 2.66

Summary:
For the energy above the most stable polymorph in this dataset, the calculation gives 7 kJ/mol of formula units. The value obtained for the total energy is -17.79 eV/cell. The density of states at the Fermi level comes out at 3.18 states/eV/f.u. Its space-group type is R-3m, No. 166. Its crystal system is trigonal.

***

No. 3
The following is a PBE-GGA calculation of LiBrO2 after structural relaxation, from Alexandria via LeMat-Bulk.

abc: 4.0131 4.0131 4.0131
angles: 60.00 60.00 60.00
With the nearest neighbours (Å) after each atom.
Fractional coordinates of all 4 atoms:
Li (0.0000, 0.0000, 0.0000)  8 O 2.46
Br (0.5000, 0.5000, 0.5000)  8 O 2.46
O (0.2500, 0.2500, 0.2500)  4 Br 2.46, 4 Li 2.46
O (0.7500, 0.7500, 0.7500)  4 Br 2.46, 4 Li 2.46

Summary:
For the energy above the most stable polymorph in this dataset, the calculation gives 277 kJ/mol of formula units. The value obtained for the total energy is -12.48 eV/cell. The density of states at the Fermi level comes out at 3.48 states/eV/f.u. Its space-group type is Fm-3m, No. 225. Its crystal system is cubic.

***

No. 4
The following is a PBE-GGA calculation of TaNb2GeTe after structural relaxation, from Alexandria via LeMat-Bulk.

abc: 4.7847 4.7847 5.0910
angles: 90.00 90.00 90.00
With the nearest neighbours (Å) after each atom.
Fractional coordinates of all 5 atoms:
Ta (0.0000, 0.0000, 0.0000)  4 Te 3.38, 8 Nb 3.49
Nb (0.0000, 0.5000, 0.5000)  2 Ge 2.39
Nb (0.5000, 0.0000, 0.5000)  2 Ge 2.39
Ge (0.5000, 0.5000, 0.5000)  4 Nb 2.39, 2 Te 2.55
Te (0.5000, 0.5000, 0.0000)  2 Ge 2.55

Summary:
The value obtained for the total energy is -32.84 eV/cell. The density of states at the Fermi level comes out at 6.17 states/eV/f.u. Its space-group type is P4/mmm, No. 123. Its crystal system is tetragonal.

***

No. 5
The following is a PBE-GGA calculation of V3Cu after structural relaxation, from Alexandria via LeMat-Bulk.

abc: 4.2031 4.2031 4.2031
angles: 60.00 60.00 60.00
With the nearest neighbours (Å) after each atom.
Fractional coordinates of all 4 atoms:
V (0.0000, 0.0000, 0.0000)  8 V 2.57
V (0.2500, 0.2500, 0.2500)  4 Cu 2.57, 4 V 2.57
V (0.7500, 0.7500, 0.7500)  4 Cu 2.57, 4 V 2.57
Cu (0.5000, 0.5000, 0.5000)  8 V 2.57

Summary:
The formation energy is 0.16 eV/atom. The value obtained for the total energy is -30.82 eV/cell. The density of states at the Fermi level comes out at 5.33 states/eV/f.u. Its space-group type is Fm-3m, No. 225. Its crystal system is cubic.

***

No. 6
The following is a PBE-GGA calculation of K2Pt5Pb4 after structural relaxation, from Alexandria via LeMat-Bulk.

abc: 10.2337 9.0249 6.3675
angles: 81.36 60.68 37.96
With the nearest neighbours (Å) after each atom.
Fractional coordinates of all 11 atoms:
K (0.1166, 0.1166, 0.8834)  4 Pb 3.44, 6 Pt 3.55-3.75
K (0.8834, 0.8834, 0.1166)  4 Pb 3.44, 6 Pt 3.55-3.75
Pt (0.0000, 0.0000, 0.5000)  4 Pb 2.82, 2 Pt 2.94
Pt (0.2500, 0.2500, 0.2500)  4 Pb 2.76, 2 Pt 2.94
Pt (0.5000, 0.5000, 0.0000)  4 Pb 2.82, 2 Pt 2.94
Pt (0.5000, 0.5000, 0.5000)  4 Pb 2.81
Pt (0.7500, 0.7500, 0.7500)  4 Pb 2.76, 2 Pt 2.94
Pb (0.2147, 0.5309, 0.4691)  5 Pt 2.76-2.82
Pb (0.4691, 0.7853, 0.2147)  5 Pt 2.76-2.82
Pb (0.5309, 0.2147, 0.7853)  5 Pt 2.76-2.82
Pb (0.7853, 0.4691, 0.5309)  5 Pt 2.76-2.82

Summary:
The formation energy is -0.16 eV/atom. The value obtained for the total energy is -49.03 eV/cell. The density of states at the Fermi level comes out at 3.63 states/eV/f.u. Its space-group type is Fmmm, No. 69. Its crystal system is orthorhombic.